[1]
Computed, not measured: a relaxed MoAu crystal at the PBE level of DFT.

abc: 7.1695 7.1695 7.1695
angles: 90.00 90.00 90.00
Fractional coordinates of all 12 atoms:
Mo 0.0000 0.2500 0.5000
Mo 0.0000 0.7500 0.5000
Mo 0.2500 0.5000 0.0000
Mo 0.5000 0.0000 0.2500
Mo 0.5000 0.0000 0.7500
Mo 0.7500 0.5000 0.0000
Au 0.0000 0.5000 0.2500
Au 0.0000 0.5000 0.7500
Au 0.2500 0.0000 0.5000
Au 0.5000 0.2500 0.0000
Au 0.5000 0.7500 0.0000
Au 0.7500 0.0000 0.5000

Output
As for the calculated formation energy: 1.85 eV/atom. Its symmetry is No. 223.

---

[2]
Computed, not measured: a relaxed MoAu crystal at the PBE level of DFT.

abc: 2.8328 2.8328 9.7334
angles: 90.00 90.00 120.00
Fractional coordinates of all 4 atoms:
Mo 0.3333 0.6667 0.3793
Mo 0.6667 0.3333 0.6207
Au 0.3333 0.6667 0.8671
Au 0.6667 0.3333 0.1329

Output
As for the calculated formation energy: 0.26 eV/atom. Its symmetry is No. 164.

---

[3]
Computed, not measured: a relaxed Mo2Au crystal at the PBE level of DFT.

abc: 5.1837 5.1837 5.1837
angles: 104.57 104.57 119.80
Fractional coordinates of all 6 atoms:
Mo 0.1304 0.6304 0.7607
Mo 0.3696 0.1304 0.5000
Mo 0.6304 0.8696 0.5000
Mo 0.8696 0.3696 0.2393
Au 0.2500 0.2500 0.0000
Au 0.7500 0.7500 0.0000

Output
As for the calculated formation energy: 0.48 eV/atom. Its symmetry is No. 140.

---

[4]
Computed, not measured: a relaxed MoAu5 crystal at the PBE level of DFT.

abc: 5.4676 5.4676 5.4676
angles: 60.00 60.00 60.00
Fractional coordinates of all 6 atoms:
Mo 0.0000 0.0000 0.0000
Au 0.1251 0.6250 0.6250
Au 0.2500 0.2500 0.2500
Au 0.6250 0.1251 0.6250
Au 0.6250 0.6250 0.1251
Au 0.6250 0.6250 0.6250

Output
As for the calculated formation energy: 0.47 eV/atom. Its symmetry is No. 216.